Entry 1:
Crystalline ZnTcBi2 at its relaxed geometry, computed with GGA-PBE.

```
ZnTcBi2
1.0
6.469 0.000 0.000
0.000 6.469 0.000
3.234 3.234 5.997
Zn Bi Tc
2 4 2
Direct
0.250 0.750 0.500
0.500 0.500 0.000
0.375 0.353 0.750
0.103 0.625 0.250
0.875 0.897 0.750
0.647 0.125 0.250
0.000 0.000 0.000
0.750 0.250 0.500
```

Properties
energy	-32.93	eV/cell
density	7.7	Mg/m³
crystal system	tetragonal

---

Entry 2:
Crystalline ZrHg2Au at its relaxed geometry, computed with GGA-PBE.

```
ZrHg2Au
1.0
7.898 0.000 0.000
0.000 7.898 0.000
3.949 3.949 2.955
Zr Hg Au
2 4 2
Direct
0.500 0.500 0.000
0.250 0.750 0.500
0.375 0.365 0.750
0.635 0.125 0.250
0.875 0.885 0.750
0.115 0.625 0.250
0.000 0.000 0.000
0.750 0.250 0.500
```

Properties
energy	-24.09	eV/cell
density	12.4	Mg/m³
crystal system	tetragonal

---

Entry 3:
Crystalline Li8Zn2Ag at its relaxed geometry, computed with GGA-PBE.

```
Li8Zn2Ag
1.0
-2.484 2.198 -2.899
3.617 -1.189 -3.999
-2.802 -7.250 0.251
Ag Li Zn
1 8 2
Direct
0.500 0.000 0.000
0.862 0.816 0.723
0.406 0.550 0.812
0.949 0.262 0.899
0.686 0.898 0.372
0.594 0.450 0.188
0.314 0.102 0.628
0.051 0.738 0.101
0.138 0.184 0.277
0.770 0.381 0.539
0.230 0.619 0.461
```

Properties
energy	-22.13	eV/cell
density	2.7	Mg/m³
crystal system	monoclinic

---

Entry 4:
Crystalline LaPm4Cd3 at its relaxed geometry, computed with GGA-PBE.

```
LaPm4Cd3
1.0
0.498 5.128 -1.802
-1.958 4.139 2.970
7.664 3.826 4.737
Cd Pm La
3 4 1
Direct
0.258 0.258 0.227
0.742 0.742 0.773
0.500 0.500 0.500
0.614 0.614 0.158
0.869 0.869 0.394
0.386 0.386 0.842
0.131 0.131 0.606
0.000 0.000 0.000
```

Properties
energy	-28.03	eV/cell
density	7.3	Mg/m³
crystal system	trigonal

---

Entry 5:
Crystalline Dy2Y7 at its relaxed geometry, computed with GGA-PBE.

```
Dy2Y7
1.0
3.584 0.000 0.000
0.000 9.699 0.000
0.000 -4.850 8.400
Y Dy
7 2
Direct
0.000 0.000 0.306
0.000 0.694 0.694
0.500 0.000 0.000
0.000 0.306 0.000
0.500 0.362 0.362
0.500 0.638 0.000
0.500 0.000 0.638
0.000 0.333 0.667
0.000 0.667 0.333
```

Properties
energy	-54.16	eV/cell
density	5.4	Mg/m³
crystal system	hexagonal

---

Entry 6:
Crystalline YEr2Cu2 at its relaxed geometry, computed with GGA-PBE.

```
YEr2Cu2
1.0
4.551 0.000 0.000
0.000 4.983 -0.013
0.000 -1.255 10.611
Cu Y Er
4 2 4
Direct
0.750 0.625 0.010
0.250 0.375 0.990
0.250 0.789 0.637
0.750 0.211 0.363
0.250 0.689 0.239
0.750 0.311 0.761
0.750 0.749 0.497
0.250 0.845 0.887
0.750 0.155 0.113
0.250 0.251 0.503
```

Properties
energy	-48.77	eV/cell
density	7.6	Mg/m³
crystal system	monoclinic